Record 1
A relaxed structure of Ga4GeSb2Se, computed with PBE. Values from VASP.

Formation energy without anion corrections: -0.207 eV/atom
E: -3.764 eV/atom
Total magnetization: 0.00 μB per formula unit

Quantum ESPRESSO input file:
```
&SYSTEM
  ibrav = 0, nat = 8, ntyp = 4
/
ATOMIC_SPECIES
Ga 69.72 Ga.upf
Ge 72.64 Ge.upf
Sb 121.76 Sb.upf
Se 78.96 Se.upf
ATOMIC_POSITIONS angstrom
Ga 1.3819 1.5017 4.6090
Ga 1.3833 4.5205 1.4295
Ga 4.3902 1.7535 1.4295
Ga -1.3829 -1.5027 4.6094
Ge 2.8865 3.1367 0.0013
Sb 3.0115 0.1253 3.0192
Sb -0.1249 3.0116 3.0192
Se 2.8863 3.1365 6.0374
CELL_PARAMETERS angstrom
6.0231 0.2505 -0.0002
-0.2499 6.0231 -0.0002
-2.8868 -3.1371 6.0383
```

Record 2
A relaxed structure of GaGeSbTe2, computed with PBE. Values from VASP.

Formation energy without anion corrections: 0.446 eV/atom
E: -3.164 eV/atom
Distance to the lowest polymorph of the same formula: 0.0 meV/atom
Total magnetization: 0.00 μB per formula unit

Quantum ESPRESSO input file:
```
&SYSTEM
  ibrav = 0, nat = 5, ntyp = 4
/
ATOMIC_SPECIES
Sb 121.76 Sb.upf
Ge 72.64 Ge.upf
Te 127.60 Te.upf
Ga 69.72 Ga.upf
ATOMIC_POSITIONS angstrom
Sb -0.4206 -0.7241 2.5557
Ge 0.0000 0.0000 0.0000
Te -1.5111 -2.1271 -0.8514
Te -2.2506 1.5691 0.0742
Ga -4.1823 -1.2821 1.7786
CELL_PARAMETERS angstrom
-4.5011 3.1382 0.1484
-3.0222 -4.2542 -1.7027
-0.8412 -1.4482 5.1115
```

Record 3
A relaxed structure of Th4GaGeSb2, computed with PBE. Values from VASP.

Formation energy without anion corrections: -0.756 eV/atom
E: -6.452 eV/atom
Total magnetization: 0.00 μB per formula unit

Quantum ESPRESSO input file:
```
&SYSTEM
  ibrav = 0, nat = 8, ntyp = 4
/
ATOMIC_SPECIES
Th 232.04 Th.upf
Ga 69.72 Ga.upf
Ge 72.64 Ge.upf
Sb 121.76 Sb.upf
ATOMIC_POSITIONS angstrom
Th 7.4592 -5.5087 -0.4248
Th -0.0200 -5.3404 -1.0547
Th 3.7920 -5.0311 -2.7983
Th 3.6472 -5.8180 1.3188
Ga 1.3562 -3.2148 -2.7398
Ge 5.0210 -3.6914 -0.3627
Sb 4.7268 -4.4195 4.0000
Sb 1.0620 -3.9429 1.6230
CELL_PARAMETERS angstrom
-2.6029 -3.4664 -0.7541
5.3153 -2.9633 -4.7254
4.7268 -4.4195 4.0000
```

Record 4
A relaxed structure of GaGe2SbW, computed with PBE. Values from VASP.

Formation energy without anion corrections: 1.189 eV/atom
E: -4.679 eV/atom
Total magnetization: 2.18 μB per formula unit

Quantum ESPRESSO input file:
```
&SYSTEM
  ibrav = 0, nat = 5, ntyp = 4
/
ATOMIC_SPECIES
Sb 121.76 Sb.upf
Ge 72.64 Ge.upf
Ga 69.72 Ga.upf
W 183.84 W.upf
ATOMIC_POSITIONS angstrom
Sb -3.8949 1.5438 0.5323
Ge -0.5010 2.1834 0.8784
Ge -1.5908 0.3477 -1.7715
Ga 0.0000 0.0000 0.0000
W -1.8031 -0.9872 1.4254
CELL_PARAMETERS angstrom
-3.1816 0.6953 -3.5430
-3.6062 -1.9745 2.8508
-1.0021 4.3667 1.7568
```

Record 5
A relaxed structure of YGa2GeSb, computed with PBE. Values from VASP.

Formation energy without anion corrections: 0.108 eV/atom
E: -4.144 eV/atom
Total magnetization: 0.00 μB per formula unit

Quantum ESPRESSO input file:
```
&SYSTEM
  ibrav = 0, nat = 5, ntyp = 4
/
ATOMIC_SPECIES
Y 88.91 Y.upf
Sb 121.76 Sb.upf
Ge 72.64 Ge.upf
Ga 69.72 Ga.upf
ATOMIC_POSITIONS angstrom
Y 2.4233 2.8151 2.4233
Sb 0.0000 2.8151 0.0000
Ge 0.0000 0.0000 0.0000
Ga 0.0000 0.0000 2.4233
Ga 2.4233 0.0000 0.0000
CELL_PARAMETERS angstrom
4.8465 0.0000 0.0000
0.0000 5.6303 0.0000
0.0000 0.0000 4.8465
```

Record 6
A relaxed structure of ScGa2Ge2, computed with PBE. Values from VASP.

E: -4.451 eV/atom
Calculated formation energy: -0.63 eV/f.u.
Total magnetization: 0.00 μB per formula unit

Quantum ESPRESSO input file:
```
&SYSTEM
  ibrav = 0, nat = 10, ntyp = 3
/
ATOMIC_SPECIES
Sc 44.96 Sc.upf
Ge 72.64 Ge.upf
Ga 69.72 Ga.upf
ATOMIC_POSITIONS angstrom
Sc 0.0000 0.0000 0.0000
Sc 3.6176 3.6176 0.0000
Ge 1.2246 4.8422 1.8013
Ge 4.8422 6.0106 1.8013
Ge 6.0106 2.3930 1.8013
Ge 2.3930 1.2246 1.8013
Ga 2.6993 6.3168 0.0000
Ga 6.3168 4.5359 0.0000
Ga 4.5359 0.9183 0.0000
Ga 0.9183 2.6993 0.0000
CELL_PARAMETERS angstrom
7.2352 0.0000 0.0000
0.0000 7.2352 0.0000
0.0000 0.0000 3.6025
```

Record 7
A relaxed structure of ScGaGe2, computed with PBE. Values from VASP.

E: -5.022 eV/atom
Calculated formation energy: -1.50 eV/f.u.
Total magnetization: 0.00 μB per formula unit

Quantum ESPRESSO input file:
```
&SYSTEM
  ibrav = 0, nat = 4, ntyp = 3
/
ATOMIC_SPECIES
Sc 44.96 Sc.upf
Ga 69.72 Ga.upf
Ge 72.64 Ge.upf
ATOMIC_POSITIONS angstrom
Sc 2.0304 0.0000 0.0000
Ga 2.0304 3.3884 2.8072
Ge 4.0608 5.0830 4.2111
Ge 4.0608 1.6938 1.4033
CELL_PARAMETERS angstrom
4.0608 0.0000 0.0000
2.0304 4.6843 1.2430
2.0304 2.0925 4.3714
```

Record 8
A relaxed structure of Sc4Ga3Ge, computed with PBE. Values from VASP.

E: -5.553 eV/atom
Calculated formation energy: -5.40 eV/f.u.
Total magnetization: 0.00 μB per formula unit

Quantum ESPRESSO input file:
```
&SYSTEM
  ibrav = 0, nat = 8, ntyp = 3
/
ATOMIC_SPECIES
Sc 44.96 Sc.upf
Ge 72.64 Ge.upf
Ga 69.72 Ga.upf
ATOMIC_POSITIONS angstrom
Sc 2.0388 1.9163 3.6811
Sc 0.0000 1.9163 8.8070
Sc 0.0000 0.0000 1.4038
Sc 2.0388 0.0000 6.5108
Ge 2.0388 1.9163 0.8624
Ga 0.0000 1.9163 5.9484
Ga 0.0000 0.0000 4.2406
Ga 2.0388 0.0000 9.3426
CELL_PARAMETERS angstrom
4.0776 0.0000 0.0000
0.0000 3.8326 0.0000
0.0000 0.0000 10.1991
```

Record 9
A relaxed structure of ScGaGe2, computed with PBE. Values from VASP.

E: -5.024 eV/atom
Calculated formation energy: -1.50 eV/f.u.
Total magnetization: 0.00 μB per formula unit

Quantum ESPRESSO input file:
```
&SYSTEM
  ibrav = 0, nat = 4, ntyp = 3
/
ATOMIC_SPECIES
Sc 44.96 Sc.upf
Ge 72.64 Ge.upf
Ga 69.72 Ga.upf
ATOMIC_POSITIONS angstrom
Sc -0.2098 -0.3298 3.5884
Ge 1.2191 0.9961 1.3987
Ge 0.2204 -1.7919 1.0840
Ga -1.6493 0.4660 1.1057
CELL_PARAMETERS angstrom
-3.2987 0.9320 2.2114
0.4409 -3.5838 2.1680
2.4381 1.9922 2.7974
```

Record 10
A relaxed structure of Sc2Ga2Ge, computed with PBE. Values from VASP.

E: -5.029 eV/atom
Distance to the lowest polymorph of the same formula: 186.6 meV/atom
Calculated formation energy: -1.81 eV/f.u.
Total magnetization: 0.00 μB per formula unit

Quantum ESPRESSO input file:
```
&SYSTEM
  ibrav = 0, nat = 10, ntyp = 3
/
ATOMIC_SPECIES
Sc 44.96 Sc.upf
Ge 72.64 Ge.upf
Ga 69.72 Ga.upf
ATOMIC_POSITIONS angstrom
Sc 2.3811 5.9024 0.0000
Sc 5.9024 4.6616 0.0000
Sc 4.6616 1.1402 0.0000
Sc 1.1402 2.3811 0.0000
Ge 0.0000 0.0000 0.0000
Ge 3.5213 3.5213 0.0000
Ga 0.9881 4.5095 2.0975
Ga 4.5095 6.0545 2.0975
Ga 6.0545 2.5332 2.0975
Ga 2.5332 0.9881 2.0975
CELL_PARAMETERS angstrom
7.0427 0.0000 0.0000
0.0000 7.0427 0.0000
0.0000 0.0000 4.1950
```

Record 11
A relaxed structure of ScGa3Ge, computed with PBE. Values from VASP.

E: -3.634 eV/atom
Distance to the lowest polymorph of the same formula: 0.0 meV/atom
Calculated formation energy: 1.86 eV/f.u.
Total magnetization: 0.00 μB per formula unit

Quantum ESPRESSO input file:
```
&SYSTEM
  ibrav = 0, nat = 5, ntyp = 3
/
ATOMIC_SPECIES
Sc 44.96 Sc.upf
Ge 72.64 Ge.upf
Ga 69.72 Ga.upf
ATOMIC_POSITIONS angstrom
Sc -4.0593 -0.7089 0.9684
Ge 0.0000 0.0000 0.0000
Ga -1.6618 -0.9689 -1.5075
Ga -0.7882 -1.4512 1.8016
Ga -1.6094 1.7112 0.6744
CELL_PARAMETERS angstrom
-3.2187 3.4224 1.3487
-3.3237 -1.9377 -3.0150
-1.5763 -2.9025 3.6031
```

Record 12
A relaxed structure of ScGa3Ge, computed with PBE. Values from VASP.

E: -3.347 eV/atom
Distance to the lowest polymorph of the same formula: 286.7 meV/atom
Calculated formation energy: 3.29 eV/f.u.
Total magnetization: 0.35 μB per formula unit

Quantum ESPRESSO input file:
```
&SYSTEM
  ibrav = 0, nat = 5, ntyp = 3
/
ATOMIC_SPECIES
Sc 44.96 Sc.upf
Ge 72.64 Ge.upf
Ga 69.72 Ga.upf
ATOMIC_POSITIONS angstrom
Sc 0.0000 0.0000 0.0000
Ge 2.5814 2.5814 2.5814
Ga 0.0000 2.5814 0.0000
Ga 0.0000 0.0000 2.5814
Ga 2.5814 0.0000 0.0000
CELL_PARAMETERS angstrom
5.1629 0.0000 0.0000
0.0000 5.1629 0.0000
0.0000 0.0000 5.1629
```